## Na2Ac3Sn3 (GGA-PBE)

Data for an optimized crystal structure of Na2Ac3Sn3.

The structure in POSCAR format:
```
Na2Ac3Sn3
1.0
6.783 0.000 0.000
0.000 8.655 -4.997
0.000 0.000 9.994
Na Ac Sn
4 6 6
Direct
0.000 0.333 0.667 Na
0.500 0.333 0.667 Na
0.500 0.667 0.333 Na
0.000 0.667 0.333 Na
0.750 0.000 0.303 Ac
0.750 0.697 0.697 Ac
0.750 0.303 0.000 Ac
0.250 0.697 0.000 Ac
0.250 0.303 0.303 Ac
0.250 0.000 0.697 Ac
0.250 0.000 0.361 Sn
0.750 0.639 0.000 Sn
0.750 0.361 0.361 Sn
0.750 0.000 0.639 Sn
0.250 0.639 0.639 Sn
0.250 0.361 0.000 Sn
```

## Properties
Its space group is No. 193. The value obtained for the formation energy is -0.474 eV per atom. For the total magnetic moment, the calculation gives 0.0 μB/f.u. As for the offset from the most stable computed form: 0 meV/atom. The calculated total energy is -0.1413 hartree per atom. The calculation puts the density of states at the Fermi level at 0.714 states/eV/atom.